RbMnP3HO10: relaxed, PBE with a Hubbard U.

Lattice parameters (Å, degrees): 7.598 7.617 9.054 76.21 75.31 69.79
Space group P1 (No. 1)
One atom of each set of equivalent atoms:
Rb (0.000, 0.000, 0.000)
Rb (0.479, 0.478, 0.469)
Mn (0.085, 0.397, 0.229)
Mn (0.578, 0.906, 0.730)
P (0.295, 0.048, 0.465)
P (0.440, 0.567, 0.010)
P (0.441, 0.185, 0.995)
P (0.829, 0.588, 0.959)
P (0.901, 0.654, 0.501)
P (0.915, 0.042, 0.446)
H (0.494, 0.972, 0.244)
H (0.992, 0.480, 0.741)
O (0.058, 0.561, 0.595)
O (0.099, 0.991, 0.525)
O (0.229, 0.235, 0.076)
O (0.250, 0.254, 0.382)
O (0.295, 0.559, 0.157)
O (0.367, 0.024, 0.612)
O (0.400, 0.741, 0.888)
O (0.426, 0.907, 0.353)
O (0.456, 0.115, 0.846)
O (0.490, 0.385, 0.928)
O (0.577, 0.061, 0.102)
O (0.639, 0.538, 0.063)
O (0.697, 0.712, 0.598)
O (0.741, 0.084, 0.572)
O (0.774, 0.786, 0.861)
O (0.897, 0.540, 0.384)
O (0.923, 0.188, 0.302)
O (0.927, 0.428, 0.859)
O (0.943, 0.586, 0.075)
O (0.943, 0.846, 0.391)

## Properties
Electronic total energy in eV/atom: -6.90
Magnetic moment in μB per atom: 0.25
Calculated volume in Å³ per atom: 14.66